(1)
The following is a meta-GGA SCAN calculation of BiOsS2N at its PBEsol-relaxed geometry, from the Alexandria database.

Structure (POSCAR):
```
BiOsS2N
1.0
-1.686 0.725 3.663
3.376 -3.155 2.178
3.206 3.915 0.701
S Bi N Os
2 1 1 1
Direct
0.000 0.500 0.000 S
0.000 0.000 0.500 S
0.000 0.000 0.000 Bi
0.500 0.000 0.000 N
0.500 0.500 0.500 Os
```

Properties
E_form (uncorrected) (eV/f.u.): 11.10
Calculated density (Mg/m³): 7.41
D(E_F) (states/eV per cell): 3.98
Raw total energy (eV per atom): -33.581

=====

(2)
The following is a meta-GGA SCAN calculation of IrRuI2 at its PBEsol-relaxed geometry, from the Alexandria database.

Structure (POSCAR):
```
IrRuI2
1.0
4.739 0.000 0.000
2.370 4.104 0.000
2.370 1.368 3.869
Ir I Ru
1 2 1
Direct
0.500 0.500 0.500 Ir
0.750 0.750 0.750 I
0.250 0.250 0.250 I
0.000 0.000 0.000 Ru
```

Properties
E_form (uncorrected) (eV/f.u.): 5.45
Calculated density (Mg/m³): 12.07
D(E_F) (states/eV per cell): 4.06
Raw total energy (eV per atom): -43.490

=====

(3)
The following is a meta-GGA SCAN calculation of GaCo2AsH at its PBEsol-relaxed geometry, from the Alexandria database.

Structure (POSCAR):
```
GaCo2AsH
1.0
-0.105 3.099 0.772
-3.252 0.615 -2.910
-2.970 -0.881 3.133
Ga As Co H
1 1 2 1
Direct
0.500 0.500 0.500 Ga
0.000 0.000 0.000 As
0.000 0.000 0.500 Co
0.000 0.500 0.000 Co
0.500 0.000 0.000 H
```

Properties
Calculated density (Mg/m³): 7.05
D(E_F) (states/eV per cell): 2.52
Raw total energy (eV per atom): -14.478

=====

(4)
The following is a meta-GGA SCAN calculation of As2BrCl at its PBEsol-relaxed geometry, from the Alexandria database.

Structure (POSCAR):
```
As2BrCl
1.0
-2.918 -1.868 1.356
-0.708 -1.357 -3.392
3.841 -5.100 1.238
As Br Cl
2 1 1
Direct
0.000 0.000 0.190 As
0.000 0.000 0.810 As
0.500 0.500 0.000 Br
0.500 0.500 0.500 Cl
```

Properties
E_form (uncorrected) (eV/f.u.): 1.95
Calculated density (Mg/m³): 4.89
D(E_F) (states/eV per cell): 1.85
Raw total energy (eV per atom): -16.466

=====

Look up the raw total energy of the third one.
-14.478 eV per atom